A relaxed Si3IrOs crystal, computed with PBE.

Unit cell a=4.5522 b=4.5522 c=4.5522 alpha=90.00 beta=90.00 gamma=90.00
Space group Pm-3m (No. 221)
Asymmetric unit:
Si 0.0000 0.0000 0.5000 (multiplicity 3)
Ir 0.5000 0.5000 0.5000 (multiplicity 1)
Os 0.0000 0.0000 0.0000 (multiplicity 1)

Properties
Crystal system = cubic
Polymorph energy (0 for the lowest one) = 0.000 eV/atom
D(E_F) = 6.02 states/eV/cell
Total moment = 0.41 μB per formula unit

=====

A relaxed SiIr2Os crystal, computed with PBE.

Unit cell a=2.8732 b=4.3550 c=8.9435 alpha=90.00 beta=90.00 gamma=90.00
Space group Immm (No. 71)
Asymmetric unit:
Si 0.0000 0.0000 0.0000 (multiplicity 2)
Ir 0.0000 0.5000 0.2836 (multiplicity 4)
Os 0.0000 0.0000 0.5000 (multiplicity 2)

Properties
Total DFT energy (no corrections) = -8.652 eV/atom
Crystal system = orthorhombic
D(E_F) = 9.38 states/eV/cell
Total moment = 0.00 μB per formula unit

=====

A relaxed SiIr3Os crystal, computed with PBE.

Unit cell a=4.7391 b=4.7391 c=4.7391 alpha=90.00 beta=90.00 gamma=90.00
Space group Pm-3m (No. 221)
Asymmetric unit:
Si 0.0000 0.0000 0.0000 (multiplicity 1)
Ir 0.0000 0.5000 0.5000 (multiplicity 3)
Os 0.5000 0.5000 0.5000 (multiplicity 1)

Properties
Crystal system = cubic
Polymorph energy (0 for the lowest one) = 0.659 eV/atom
D(E_F) = 5.57 states/eV/cell
Total moment = 0.00 μB per formula unit

=====

A relaxed SiIr2Os crystal, computed with PBE.

Unit cell a=5.4083 b=7.5538 c=2.7475 alpha=90.00 beta=90.00 gamma=90.00
Space group Cmmm (No. 65)
Asymmetric unit:
Si 0.0000 0.0000 0.0000 (multiplicity 2)
Ir 0.2500 0.2500 0.5000 (multiplicity 4)
Os 0.0000 0.5000 0.0000 (multiplicity 2)

Properties
Total DFT energy (no corrections) = -8.647 eV/atom
Crystal system = orthorhombic
D(E_F) = 6.60 states/eV/cell
Total moment = 0.00 μB per formula unit

=====

A relaxed SiIr2Os crystal, computed with PBE.

Unit cell a=3.8332 b=3.8332 c=7.6096 alpha=90.00 beta=90.00 gamma=90.00
Space group I4/mmm (No. 139)
Asymmetric unit:
Si 0.0000 0.0000 0.0000 (multiplicity 2)
Ir 0.0000 0.5000 0.2500 (multiplicity 4)
Os 0.0000 0.0000 0.5000 (multiplicity 2)

Properties
Total DFT energy (no corrections) = -8.651 eV/atom
Crystal system = tetragonal
D(E_F) = 3.78 states/eV/cell
Total moment = 0.00 μB per formula unit

=====

A relaxed SiIr2Os crystal, computed with PBE.

Unit cell a=3.8150 b=3.8150 c=3.8617 alpha=90.00 beta=90.00 gamma=90.00
Space group P4/mmm (No. 123)
Asymmetric unit:
Si 0.0000 0.0000 0.0000 (multiplicity 1)
Ir 0.0000 0.5000 0.5000 (multiplicity 2)
Os 0.5000 0.5000 0.0000 (multiplicity 1)

Properties
Total DFT energy (no corrections) = -8.546 eV/atom
Crystal system = tetragonal
D(E_F) = 4.45 states/eV/cell
Total moment = 0.00 μB per formula unit

=====

A relaxed SiIr2Os crystal, computed with PBE.

Unit cell a=2.7966 b=3.9675 c=5.2284 alpha=90.00 beta=103.41 gamma=90.00
Space group P2/m (No. 10)
Asymmetric unit:
Si 0.0000 0.0000 0.0000 (multiplicity 1)
Ir 0.3723 0.5000 0.2411 (multiplicity 2)
Os 0.0000 0.0000 0.5000 (multiplicity 1)

Properties
Total DFT energy (no corrections) = -8.696 eV/atom
Crystal system = monoclinic
D(E_F) = 2.65 states/eV/cell
Total moment = 0.00 μB per formula unit

=====

A relaxed SiIr2Os crystal, computed with PBE.

Unit cell a=3.8784 b=3.8784 c=7.4427 alpha=90.00 beta=90.00 gamma=90.00
Space group I-4m2 (No. 119)
Asymmetric unit:
Si 0.0000 0.0000 0.0000 (multiplicity 2)
Ir 0.0000 0.0000 0.5000 (multiplicity 2)
Ir 0.0000 0.5000 0.7500 (multiplicity 2)
Os 0.0000 0.5000 0.2500 (multiplicity 2)

Properties
Total DFT energy (no corrections) = -8.623 eV/atom
Crystal system = tetragonal
D(E_F) = 4.71 states/eV/cell
Total moment = 0.00 μB per formula unit